The following is a DFT calculation (PBE) of TcBiPO after structural relaxation.

Calculated values
Distance to the lowest polymorph of the same formula = 601 meV/atom

a = 4.241 Å, b = 4.241 Å, c = 9.435 Å
α = 90.00°, β = 90.00°, γ = 90.00°
Each line ends with the local moment (μB).
Fractional positions:
Bi 0.000 0.000 0.500  0.00
Bi 0.500 0.500 0.500  0.00
O 0.000 0.000 0.000  0.03
O 0.500 0.500 0.000  0.03
P 0.500 0.000 0.268  -0.01
P 0.000 0.500 0.732  -0.01
Tc 0.500 0.000 0.043  0.31
Tc 0.000 0.500 0.957  0.31